[1]
A relaxed LiOs2W crystal, computed with GGA-PBE.

Properties
The formation energy is 1.850 eV per formula unit.

The structure in POSCAR format:
```
LiOs2W
1.0
2.807 0.000 0.000
0.000 4.469 0.000
0.000 0.000 4.560
Li Os W
1 2 1
Direct
0.000 0.000 0.000
0.000 0.500 0.500
0.500 0.500 0.000
0.500 0.000 0.500
```

[2]
A relaxed LiOs2W crystal, computed with GGA-PBE.

Properties
The formation energy is 0.801 eV per formula unit.

The structure in POSCAR format:
```
LiOs2W
1.0
2.672 0.000 0.000
0.000 4.246 0.000
-0.424 0.000 5.007
Li Os W
1 2 1
Direct
0.000 0.000 0.000
0.242 0.500 0.771
0.758 0.500 0.229
0.500 0.000 0.500
```

[3]
A relaxed LiOs2W crystal, computed with GGA-PBE.

Properties
The formation energy is 0.636 eV per formula unit.

The structure in POSCAR format:
```
LiOs2W
1.0
1.375 0.794 9.068
-1.375 0.794 9.068
0.000 -1.588 9.068
Li Os W
1 2 1
Direct
0.000 0.000 0.000
0.248 0.248 0.248
0.752 0.752 0.752
0.500 0.500 0.500
```